[1]
A plane-wave DFT calculation with PBE was carried out for crystalline Na2AgPt at its relaxed geometry.

POSCAR file:
```
Na2AgPt
1.0
4.561 0.000 0.000
0.000 4.090 0.000
0.000 0.000 4.090
Na Ag Pt
2 1 1
direct
0.000 0.000 0.500
0.000 0.500 0.000
0.500 0.000 0.000
0.500 0.500 0.500
```

Output
ρ: 7.59 g cm⁻³
energy of formation from the pure elements: -0.049 eV per atom
DOS at the Fermi energy: 0.84 states/eV/cell
uncorrected energy: -2.932 eV/atom
relative energy among the computed polymorphs: 57.1 meV/atom



[2]
A plane-wave DFT calculation with PBE was carried out for crystalline AcLaPr4Sm2 at its relaxed geometry.

POSCAR file:
```
AcLaPr4Sm2
1.0
9.717 -0.260 -4.108
0.382 10.606 0.196
-7.853 -5.198 8.859
Ac La Pr Sm
2 2 8 4
direct
0.000 0.500 0.000
0.000 0.500 0.500
0.500 0.500 0.500
0.000 0.000 0.000
0.260 0.756 0.008
0.749 0.245 0.497
0.251 0.755 0.503
0.740 0.244 0.992
0.755 0.755 0.008
0.755 0.755 0.503
0.245 0.245 0.497
0.245 0.245 0.992
0.500 0.000 0.000
0.500 0.000 0.500
0.000 0.000 0.500
0.500 0.500 0.000
```

Output
ρ: 6.92 g cm⁻³
energy of formation from the pure elements: 0.023 eV per atom
DOS at the Fermi energy: 28.50 states/eV/cell
uncorrected energy: -4.676 eV/atom



[3]
A plane-wave DFT calculation with PBE was carried out for crystalline BeCuOF2 at its relaxed geometry.

POSCAR file:
```
BeCuOF2
1.0
-0.376 -3.566 -1.227
3.404 0.210 -1.651
1.682 -1.313 3.301
Be O Cu F
1 1 1 2
direct
0.500 0.500 0.500
0.000 0.000 0.500
0.000 0.000 0.000
0.000 0.500 0.000
0.500 0.000 0.000
```

Output
ρ: 3.72 g cm⁻³
DOS at the Fermi energy: 1.81 states/eV/cell
uncorrected energy: -3.897 eV/atom
relative energy among the computed polymorphs: 1017.5 meV/atom
uncorrected formation energy: -592 meV/atom



[4]
A plane-wave DFT calculation with PBE was carried out for crystalline TbEr2Tm6Sc at its relaxed geometry.

POSCAR file:
```
TbEr2Tm6Sc
1.0
8.859 -1.959 -2.033
0.810 8.317 -1.928
0.810 -2.235 8.240
Tb Er Tm Sc
2 4 12 2
direct
0.250 0.977 0.023
0.750 0.023 0.977
0.452 0.800 0.694
0.048 0.306 0.200
0.548 0.200 0.306
0.952 0.694 0.800
0.057 0.128 0.752
0.443 0.248 0.872
0.943 0.872 0.248
0.557 0.752 0.128
0.312 0.990 0.434
0.188 0.566 0.010
0.688 0.010 0.566
0.812 0.434 0.990
0.116 0.708 0.494
0.384 0.506 0.292
0.884 0.292 0.506
0.616 0.494 0.708
0.250 0.412 0.588
0.750 0.588 0.412
```

Output
ρ: 8.56 g cm⁻³
energy of formation from the pure elements: 0.129 eV per atom
DOS at the Fermi energy: 26.65 states/eV/cell
uncorrected energy: -4.562 eV/atom



[5]
A plane-wave DFT calculation with PBE was carried out for crystalline MnHg2Se at its relaxed geometry.

POSCAR file:
```
MnHg2Se
1.0
-2.531 -0.236 -3.038
-0.782 -3.764 0.944
-4.703 1.923 3.768
Hg Mn Se
2 1 1
direct
0.000 0.000 0.000
0.500 0.500 0.000
0.500 0.000 0.500
0.000 0.500 0.500
```

Output
ρ: 8.96 g cm⁻³
DOS at the Fermi energy: 1.42 states/eV/cell
uncorrected energy: -3.196 eV/atom
uncorrected formation energy: 118 meV/atom



[6]
A plane-wave DFT calculation with PBE was carried out for crystalline Nd2Dy5Ho at its relaxed geometry.

POSCAR file:
```
Nd2Dy5Ho
1.0
-0.964 3.782 -3.203
-6.980 -0.553 1.448
1.468 9.408 10.667
Nd Dy Ho
4 10 2
direct
0.500 0.249 0.625
0.500 0.751 0.375
0.500 0.251 0.125
0.500 0.749 0.875
0.000 0.000 0.000
0.000 0.500 0.500
0.000 0.499 0.750
0.000 0.501 0.250
0.000 0.001 0.250
0.000 0.999 0.750
0.500 0.249 0.875
0.500 0.751 0.125
0.500 0.251 0.375
0.500 0.749 0.625
0.000 0.000 0.500
0.000 0.500 0.000
```

Output
ρ: 8.14 g cm⁻³
energy of formation from the pure elements: 0.018 eV per atom
DOS at the Fermi energy: 21.69 states/eV/cell
uncorrected energy: -4.622 eV/atom
relative energy among the computed polymorphs: 0.0 meV/atom



[7]
A plane-wave DFT calculation with PBE was carried out for crystalline LaGdAgRh at its relaxed geometry.

POSCAR file:
```
LaGdAgRh
1.0
-3.812 -0.567 -3.401
1.027 -1.644 -4.760
-1.459 -4.706 -1.464
Gd Rh Ag La
1 1 1 1
direct
0.000 0.000 0.000
0.750 0.750 0.750
0.250 0.250 0.250
0.500 0.500 0.500
```

Output
ρ: 8.77 g cm⁻³
energy of formation from the pure elements: -0.476 eV per atom
DOS at the Fermi energy: 3.68 states/eV/cell
uncorrected energy: -7.779 eV/atom



[8]
A plane-wave DFT calculation with PBE was carried out for crystalline CsV2NiRu at its relaxed geometry.

POSCAR file:
```
CsV2NiRu
1.0
4.777 0.000 0.000
0.000 4.536 0.000
0.000 0.000 4.777
Cs Ru V Ni
1 1 2 1
direct
0.000 0.000 0.000
0.500 0.500 0.500
0.000 0.000 0.500
0.500 0.000 0.000
0.000 0.500 0.000
```

Output
ρ: 6.33 g cm⁻³
energy of formation from the pure elements: 2.811 eV per atom
DOS at the Fermi energy: 9.88 states/eV/cell
uncorrected energy: -4.019 eV/atom



[9]
A plane-wave DFT calculation with PBE was carried out for crystalline Cs2GeMoCl6 at its relaxed geometry.

POSCAR file:
```
Cs2GeMoCl6
1.0
7.483 0.000 0.000
0.000 7.483 0.000
3.742 3.742 5.303
Cs Mo Ge Cl
2 1 1 6
direct
0.750 0.250 0.500
0.250 0.750 0.500
0.000 0.000 0.000
0.500 0.500 0.000
0.241 0.241 0.517
0.759 0.759 0.483
0.241 0.241 0.000
0.759 0.759 0.000
0.759 0.241 0.000
0.241 0.759 0.000
```

Output
ρ: 3.62 g cm⁻³
DOS at the Fermi energy: 2.12 states/eV/cell
uncorrected energy: -3.983 eV/atom
uncorrected formation energy: -1160 meV/atom



[10]
A plane-wave DFT calculation with PBE was carried out for crystalline Er5Fe2Pd at its relaxed geometry.

POSCAR file:
```
Er5Fe2Pd
1.0
6.435 0.000 -3.038
-1.434 6.273 -3.038
0.193 0.242 8.744
Er Fe Pd
10 4 2
direct
0.535 0.684 0.719
0.816 0.965 0.281
0.000 0.000 0.000
0.500 0.500 0.000
0.184 0.035 0.719
0.684 0.184 0.719
0.035 0.535 0.719
0.316 0.816 0.281
0.965 0.465 0.281
0.465 0.316 0.281
0.109 0.391 0.000
0.609 0.109 0.000
0.391 0.891 0.000
0.891 0.609 0.000
0.750 0.750 0.500
0.250 0.250 0.500
```

Output
ρ: 9.66 g cm⁻³
energy of formation from the pure elements: -0.280 eV per atom
DOS at the Fermi energy: 15.36 states/eV/cell
uncorrected energy: -5.896 eV/atom



[11]
A plane-wave DFT calculation with PBE was carried out for crystalline Mg2TlTePb at its relaxed geometry.

POSCAR file:
```
Mg2TlTePb
1.0
5.481 0.000 0.000
0.000 5.481 0.000
0.000 0.000 6.165
Pb Tl Te Mg
1 1 1 2
direct
0.000 0.000 0.500
0.500 0.500 0.500
0.000 0.000 0.000
0.000 0.500 0.000
0.500 0.000 0.000
```

Output
ρ: 5.27 g cm⁻³
DOS at the Fermi energy: 3.66 states/eV/cell
uncorrected energy: -2.212 eV/atom
relative energy among the computed polymorphs: 44.4 meV/atom
uncorrected formation energy: 269 meV/atom



[12]
A plane-wave DFT calculation with PBE was carried out for crystalline Mg2NbFeIr at its relaxed geometry.

POSCAR file:
```
Mg2NbFeIr
1.0
-5.033 -0.799 0.896
-0.546 -1.477 -4.387
1.036 -4.842 1.502
Mg Nb Ir Fe
2 1 1 1
direct
0.000 0.000 0.500
0.500 0.000 0.000
0.000 0.000 0.000
0.000 0.500 0.000
0.500 0.500 0.500
```

Output
ρ: 5.18 g cm⁻³
energy of formation from the pure elements: 1.525 eV per atom
DOS at the Fermi energy: 7.12 states/eV/cell
uncorrected energy: -4.592 eV/atom



[13]
A plane-wave DFT calculation with PBE was carried out for crystalline LaAl2Au8 at its relaxed geometry.

POSCAR file:
```
LaAl2Au8
1.0
-4.504 -3.397 0.613
1.410 -0.891 5.424
-4.520 6.394 2.226
La Al Au
1 2 8
direct
0.500 0.500 0.500
0.500 0.000 0.000
0.000 0.500 0.000
0.755 0.755 0.209
0.755 0.245 0.791
0.755 0.755 0.791
0.755 0.245 0.209
0.245 0.755 0.209
0.245 0.755 0.791
0.245 0.245 0.209
0.245 0.245 0.791
```

Output
ρ: 11.20 g cm⁻³
energy of formation from the pure elements: -0.231 eV per atom
DOS at the Fermi energy: 3.97 states/eV/cell
uncorrected energy: -3.743 eV/atom



[14]
A plane-wave DFT calculation with PBE was carried out for crystalline SrMg6Cu2 at its relaxed geometry.

POSCAR file:
```
SrMg6Cu2
1.0
-1.057 -0.917 -4.190
-3.491 -2.323 1.389
-5.888 8.608 -0.398
Sr Mg Cu
1 6 2
direct
0.000 0.000 0.000
0.000 0.500 0.275
0.500 0.000 0.275
0.000 0.500 0.725
0.500 0.000 0.725
0.500 0.500 0.500
0.000 0.000 0.500
0.500 0.500 0.120
0.500 0.500 0.880
```

Output
ρ: 2.94 g cm⁻³
energy of formation from the pure elements: -0.056 eV per atom
DOS at the Fermi energy: 4.68 states/eV/cell
uncorrected energy: -2.217 eV/atom



[15]
A plane-wave DFT calculation with PBE was carried out for crystalline NdDyEr at its relaxed geometry.

POSCAR file:
```
NdDyEr
1.0
3.479 0.000 0.000
0.000 5.671 0.000
0.000 -2.836 4.911
Dy Nd Er
1 1 1
direct
0.166 0.000 0.000
0.667 0.667 0.333
0.167 0.333 0.667
```

Output
ρ: 8.12 g cm⁻³
energy of formation from the pure elements: 0.071 eV per atom
DOS at the Fermi energy: 4.31 states/eV/cell
uncorrected energy: -4.573 eV/atom
relative energy among the computed polymorphs: 59.5 meV/atom



[16]
A plane-wave DFT calculation with PBE was carried out for crystalline Ca5PmHg6 at its relaxed geometry.

POSCAR file:
```
Ca5PmHg6
1.0
5.246 0.002 -1.093
-0.003 7.615 -0.001
-0.979 0.000 8.393
Ca Hg Pm
5 6 1
direct
0.667 0.500 0.333
0.332 0.000 0.664
0.000 0.500 0.000
0.668 0.000 0.336
0.333 0.500 0.667
0.834 0.752 0.669
0.834 0.248 0.669
0.500 0.246 0.000
0.500 0.754 0.000
0.166 0.752 0.331
0.166 0.248 0.331
0.000 0.000 0.000
```

Output
ρ: 7.86 g cm⁻³
energy of formation from the pure elements: -0.552 eV per atom
DOS at the Fermi energy: 6.77 states/eV/cell
uncorrected energy: -1.932 eV/atom